(1)
{
  "formula": "Co3PdPb",
  "functional": "GGA-PBE",
  "state": "optimized geometry",
  "e_above_lowest_polymorph_mev_per_atom": 0.0,
  "spacegroup": "Pm-3m (221)",
  "vol_a3_per_atom": 19.9,
  "ef_kj_per_mol_fu": 541,
  "lattice": [[-3.273, 0.743, 3.190], [-1.158, -4.481, -0.145], [3.064, -0.901, 3.353]],
  "species": ["Pb", "Co", "Co", "Co", "Pd"],
  "fractional_positions": [[0.500, 0.500, 0.500], [0.000, 0.500, 0.000], [0.000, 0.000, 0.500], [0.500, 0.000, 0.000], [0.000, 0.000, 0.000]]
}

=====

(2)
{
  "formula": "LaCoBr2",
  "functional": "GGA-PBE",
  "state": "optimized geometry",
  "e_above_lowest_polymorph_mev_per_atom": 604.3,
  "spacegroup": "F-43m (216)",
  "vol_a3_per_atom": 25.7,
  "lattice": [[-2.487, 0.696, -4.580], [0.857, -3.318, -3.988], [-3.766, -3.356, -1.483]],
  "species": ["Br", "Br", "Co", "La"],
  "fractional_positions": [[0.000, 0.000, 0.000], [0.250, 0.250, 0.250], [0.500, 0.500, 0.500], [0.750, 0.750, 0.750]]
}

=====

(3)
{
  "formula": "MoC2",
  "functional": "GGA-PBE",
  "state": "optimized geometry",
  "e_above_lowest_polymorph_mev_per_atom": 774.7,
  "spacegroup": "I4_1/amd (141)",
  "vol_a3_per_atom": 8.8,
  "ef_kj_per_mol_fu": 374,
  "lattice": [[-11.453, -5.920, 3.108], [-8.965, -8.975, 3.864], [10.401, 8.073, -1.590]],
  "species": ["Mo", "Mo", "Mo", "Mo", "C", "C", "C", "C", "C", "C", "C", "C"],
  "fractional_positions": [[0.064, 0.064, 0.000], [0.936, 0.936, 0.000], [0.314, 0.814, 0.500], [0.186, 0.686, 0.500], [0.250, 0.250, 0.000], [0.750, 0.750, 0.000], [0.500, 0.000, 0.500], [0.000, 0.500, 0.500], [0.394, 0.394, 0.000], [0.606, 0.606, 0.000], [0.644, 0.144, 0.500], [0.856, 0.356, 0.500]]
}

=====

(4)
{
  "formula": "Sr2EuDy",
  "functional": "GGA-PBE",
  "state": "optimized geometry",
  "e_above_lowest_polymorph_mev_per_atom": 0.0,
  "spacegroup": "P4/mmm (123)",
  "vol_a3_per_atom": 44.2,
  "ef_kj_per_mol_fu": 63,
  "lattice": [[3.946, 0.000, 0.000], [0.000, 3.946, 0.000], [0.000, 0.000, 11.362]],
  "species": ["Eu", "Sr", "Sr", "Dy"],
  "fractional_positions": [[0.500, 0.500, 0.500], [0.000, 0.000, 0.767], [0.000, 0.000, 0.233], [0.500, 0.500, 0.000]]
}

=====

(5)
{
  "formula": "AcTm2Au3",
  "functional": "GGA-PBE",
  "state": "optimized geometry",
  "spacegroup": "P4/mmm (123)",
  "vol_a3_per_atom": 24.6,
  "ef_kj_per_mol_fu": -483,
  "lattice": [[3.640, 0.000, 0.000], [0.000, 3.640, 0.000], [0.000, 0.000, 11.146]],
  "species": ["Ac", "Tm", "Tm", "Au", "Au", "Au"],
  "fractional_positions": [[0.500, 0.500, 0.500], [0.500, 0.500, 0.843], [0.500, 0.500, 0.157], [0.000, 0.000, 0.000], [0.000, 0.000, 0.701], [0.000, 0.000, 0.299]]
}

=====

(6)
{
  "formula": "GaH2O2",
  "functional": "GGA-PBE",
  "state": "optimized geometry",
  "e_above_lowest_polymorph_mev_per_atom": 0.0,
  "spacegroup": "P-3m1 (164)",
  "vol_a3_per_atom": 10.4,
  "lattice": [[-2.960, -3.826, 1.153], [2.411, -1.208, 2.183], [-2.417, 2.213, 1.138]],
  "species": ["Ga", "H", "H", "O", "O"],
  "fractional_positions": [[0.000, 0.000, 0.000], [0.593, 0.667, 0.333], [0.407, 0.333, 0.667], [0.791, 0.667, 0.333], [0.209, 0.333, 0.667]]
}

=====

(7)
{
  "formula": "NdAg5Se4",
  "functional": "GGA-PBE",
  "state": "optimized geometry",
  "spacegroup": "Immm (71)",
  "vol_a3_per_atom": 24.7,
  "lattice": [[-1.986, 3.856, 0.154], [0.890, 0.767, -7.728], [-5.868, -5.574, 2.724]],
  "species": ["Nd", "Ag", "Ag", "Ag", "Ag", "Ag", "Se", "Se", "Se", "Se"],
  "fractional_positions": [[0.500, 0.000, 0.000], [0.818, 0.034, 0.637], [0.818, 0.603, 0.637], [0.182, 0.397, 0.363], [0.182, 0.966, 0.363], [0.500, 0.500, 0.000], [0.000, 0.731, 0.000], [0.290, 0.790, 0.580], [0.710, 0.210, 0.420], [0.000, 0.269, 0.000]]
}

=====

(8)
{
  "formula": "KZnRh3",
  "functional": "GGA-PBE",
  "state": "optimized geometry",
  "e_above_lowest_polymorph_mev_per_atom": 0.0,
  "spacegroup": "Pm-3m (221)",
  "vol_a3_per_atom": 21.3,
  "ef_kj_per_mol_fu": 435,
  "lattice": [[4.738, 0.000, 0.000], [0.000, 4.738, 0.000], [0.000, 0.000, 4.738]],
  "species": ["Zn", "Rh", "Rh", "Rh", "K"],
  "fractional_positions": [[0.000, 0.000, 0.000], [0.000, 0.500, 0.000], [0.000, 0.000, 0.500], [0.500, 0.000, 0.000], [0.500, 0.500, 0.500]]
}

=====

(9)
{
  "formula": "Cs4La3PuS8",
  "functional": "GGA-PBE",
  "state": "optimized geometry",
  "spacegroup": "R-3m (166)",
  "vol_a3_per_atom": 32.5,
  "lattice": [[-0.296, -8.550, -1.157], [7.060, -1.087, 6.225], [-7.018, 4.234, 2.710]],
  "species": ["Cs", "Cs", "Cs", "Cs", "La", "La", "La", "Pu", "S", "S", "S", "S", "S", "S", "S", "S"],
  "fractional_positions": [[0.500, 0.000, 0.000], [0.500, 0.000, 0.500], [0.000, 0.000, 0.000], [0.000, 0.000, 0.500], [0.500, 0.500, 0.000], [0.500, 0.500, 0.500], [0.000, 0.500, 0.500], [0.000, 0.500, 0.000], [0.224, 0.684, 0.960], [0.224, 0.684, 0.449], [0.271, 0.312, 0.541], [0.736, 0.684, 0.960], [0.264, 0.316, 0.040], [0.729, 0.688, 0.459], [0.776, 0.316, 0.551], [0.776, 0.316, 0.040]]
}

=====

(10)
{
  "formula": "YV2Ni2",
  "functional": "GGA-PBE",
  "state": "optimized geometry",
  "e_above_lowest_polymorph_mev_per_atom": 0.0,
  "spacegroup": "I4/mmm (139)",
  "vol_a3_per_atom": 16.2,
  "ef_kj_per_mol_fu": -25,
  "lattice": [[3.960, 0.000, 0.000], [0.000, 3.960, 0.000], [1.980, 1.980, 5.170]],
  "species": ["Y", "Ni", "Ni", "V", "V"],
  "fractional_positions": [[0.000, 0.000, 0.000], [0.385, 0.385, 0.230], [0.615, 0.615, 0.770], [0.750, 0.250, 0.500], [0.250, 0.750, 0.500]]
}

=====

(11)
{
  "formula": "Tb2UBiO8",
  "functional": "GGA-PBE",
  "state": "optimized geometry",
  "spacegroup": "Cmmm (65)",
  "vol_a3_per_atom": 15.5,
  "lattice": [[5.106, -0.096, -0.003], [-0.077, 5.108, -0.005], [0.004, 0.008, 7.121]],
  "species": ["Tb", "Tb", "U", "Bi", "O", "O", "O", "O", "O", "O", "O", "O"],
  "fractional_positions": [[0.500, 0.500, 0.751], [0.500, 0.500, 0.249], [0.000, 0.000, 0.000], [0.000, 0.000, 0.500], [0.185, 0.814, 0.230], [0.709, 0.709, 0.000], [0.815, 0.185, 0.230], [0.815, 0.186, 0.770], [0.291, 0.291, 0.000], [0.185, 0.815, 0.770], [0.692, 0.692, 0.500], [0.308, 0.308, 0.500]]
}

=====

(12)
{
  "formula": "CrSi2W",
  "functional": "GGA-PBE",
  "state": "optimized geometry",
  "e_above_lowest_polymorph_mev_per_atom": 758.5,
  "spacegroup": "I-42d (122)",
  "vol_a3_per_atom": 14.9,
  "lattice": [[6.615, 0.000, 0.000], [0.000, 6.615, 0.000], [3.307, 3.307, 2.715]],
  "species": ["Cr", "Cr", "Si", "Si", "Si", "Si", "W", "W"],
  "fractional_positions": [[0.500, 0.500, 0.000], [0.250, 0.750, 0.500], [0.611, 0.125, 0.250], [0.139, 0.625, 0.250], [0.375, 0.389, 0.750], [0.875, 0.861, 0.750], [0.000, 0.000, 0.000], [0.750, 0.250, 0.500]]
}

=====

no.,total DFT energy (no corrections) (eV per formula unit)
1,-24.61
2,-16.59
3,-25.40
4,-17.59
5,-27.89
6,-24.15
7,-37.81
8,-19.91
9,-94.13
10,-36.52
11,-97.28
12,-31.44